Entry 1:
This record from Alexandria describes an optimized crystal structure of LaZnW2. The functional is PBE.

The space group is Cm (No. 8) and the conventional cell measures 8.9006, 2.8215 and 6.5844 Å, with angles of 90.00, 94.62 and 90.00 degrees. The inequivalent atoms are La at (0.0000, 0.0000, 0.0000), Zn at (0.2516, 0.0000, 0.6822), W at (0.0180, 0.5000, 0.4895) and W at (0.2638, 0.5000, 0.3133).

The formation energy from the elements comes out at 0.55 eV per atom. The calculation puts the total DFT energy (no corrections) at -59.84 eV for the cell shown. The calculation puts the calculated volume at 164.82 Å³/cell.

Entry 2:
This record from Alexandria describes an optimized crystal structure of La2Mn. The functional is PBE.

The space group is Pa-3 (No. 205) and the conventional cell measures 7.1378, 7.1378 and 7.1378 Å, with angles of 90.00, 90.00 and 90.00 degrees. The inequivalent atoms are La at (0.1755, 0.1755, 0.1755) and Mn at (0.0000, 0.0000, 0.5000).

The formation energy from the elements comes out at 0.30 eV per atom. The calculation puts the total DFT energy (no corrections) at -72.52 eV for the cell shown. The calculation puts the calculated volume at 363.66 Å³/cell.

Entry 3:
This record from Alexandria describes an optimized crystal structure of CsRb2TiI6. The functional is PBE.

The space group is R3 (No. 146, hexagonal axes) and the conventional cell measures 8.9138, 8.9138 and 22.6281 Å, with angles of 90.00, 90.00 and 120.00 degrees. The inequivalent atoms are Cs at (0.0000, 0.0000, 0.0000), Rb at (0.0000, 0.0000, 0.2830), Rb at (0.0000, 0.0000, 0.7937), Ti at (0.0000, 0.0000, 0.4924), I at (0.0373, 0.2811, 0.5630) and I at (0.0900, 0.6931, 0.0843).

The calculation puts the total DFT energy (no corrections) at -95.04 eV for the cell shown. The calculation puts the calculated volume at 1557.17 Å³/cell.

Entry 4:
This record from Alexandria describes an optimized crystal structure of Pm5AlHg3. The functional is PBE.

The space group is P6_3/mcm (No. 193) and the conventional cell measures 9.3676, 9.3676 and 6.6880 Å, with angles of 90.00, 90.00 and 120.00 degrees. The inequivalent atoms are Pm at (0.0000, 0.2819, 0.2500), Pm at (0.3333, 0.6667, 0.0000), Al at (0.0000, 0.0000, 0.0000) and Hg at (0.0000, 0.3771, 0.7500).

The formation energy from the elements comes out at -0.36 eV per atom. The calculation puts the total DFT energy (no corrections) at -63.21 eV for the cell shown. The calculation puts the calculated volume at 508.26 Å³/cell.